No. 1
The following is a DFT calculation (PBE) of BaYIn3 after structural relaxation.

Lattice parameters (Å, degrees): 5.9882 5.9882 5.9882 90.00 90.00 90.00
Space group Pm-3m (No. 221)
Asymmetric unit:
Ba: 0.0000 0.0000 0.0000
Y: 0.5000 0.5000 0.5000
In: 0.0000 0.0000 0.5000

ΔE to the lowest computed polymorph in meV/atom: 833
Energy of formation from the pure elements in eV per atom: 0.85
Spin magnetization in μB/cell: 0.0
ρ in Mg/m³: 4.4

***

No. 2
The following is a DFT calculation (PBE) of BaYIn2 after structural relaxation.

Lattice parameters (Å, degrees): 3.8387 3.8387 31.8312 90.00 90.00 120.00
Space group R-3m (No. 166, hexagonal axes)
Asymmetric unit:
Ba: 0.0000 0.0000 0.0000
Y: 0.0000 0.0000 0.5000
In: 0.0000 0.0000 0.2428

Energy of formation from the pure elements in eV per atom: -0.21
Spin magnetization in μB/cell: 0.0
ρ in Mg/m³: 5.6